Record 1
Compound: TaCo2Rh2
Source: the Alexandria database
Functional: PBE
Structure: relaxed

Cell lengths 7.010, 7.010, 2.799 Å; angles 90.00, 90.00, 90.00 degrees
Fractional coordinates of all 10 atoms:
Ta: 0.000 0.000 0.000
Ta: 0.500 0.500 0.000
Co: 0.122 0.378 0.000
Co: 0.378 0.878 0.000
Co: 0.622 0.122 0.000
Co: 0.878 0.622 0.000
Rh: 0.174 0.674 0.500
Rh: 0.326 0.174 0.500
Rh: 0.674 0.826 0.500
Rh: 0.826 0.326 0.500

Calculated values
N(E_F): 1.420 states/eV per atom
calculated total energy: -8.21 eV per atom
excess energy over the best structure of this formula in the dataset: 0 meV per atom
crystal system: tetragonal
calculated formation energy: -5.0 kJ per mole of atoms
space-group type: No. 127

Record 2
Compound: Ta2Co3Rh
Source: the Alexandria database
Functional: PBE
Structure: relaxed

Cell lengths 7.863, 7.863, 7.863 Å; angles 117.09, 117.09, 95.11 degrees
Fractional coordinates of all 24 atoms:
Ta: 0.269 0.334 0.565
Ta: 0.269 0.704 0.935
Ta: 0.296 0.731 0.565
Ta: 0.334 0.269 0.065
Ta: 0.666 0.731 0.935
Ta: 0.704 0.269 0.435
Ta: 0.731 0.296 0.065
Ta: 0.731 0.666 0.435
Co: 0.000 0.500 0.500
Co: 0.107 0.357 0.214
Co: 0.107 0.893 0.750
Co: 0.357 0.107 0.714
Co: 0.357 0.643 0.250
Co: 0.500 0.000 0.000
Co: 0.500 0.500 0.000
Co: 0.500 0.500 0.500
Co: 0.643 0.357 0.750
Co: 0.643 0.893 0.286
Co: 0.893 0.107 0.250
Co: 0.893 0.643 0.786
Rh: 0.063 0.313 0.750
Rh: 0.313 0.063 0.250
Rh: 0.687 0.937 0.750
Rh: 0.937 0.687 0.250

Calculated values
N(E_F): 1.361 states/eV per atom
calculated total energy: -8.69 eV per atom
crystal system: tetragonal
calculated formation energy: 3.8 kJ per mole of atoms
space-group type: No. 141

Record 3
Compound: TaCo3Rh
Source: the Alexandria database
Functional: PBE
Structure: relaxed

Cell lengths 4.402, 4.402, 4.402 Å; angles 90.00, 90.00, 90.00 degrees
Fractional coordinates of all 5 atoms:
Ta: 0.000 0.000 0.000
Co: 0.000 0.500 0.500
Co: 0.500 0.000 0.500
Co: 0.500 0.500 0.000
Rh: 0.500 0.500 0.500

Calculated values
N(E_F): 1.752 states/eV per atom
calculated total energy: -6.65 eV per atom
excess energy over the best structure of this formula in the dataset: 0 meV per atom
crystal system: cubic
calculated formation energy: 140.4 kJ per mole of atoms
space-group type: No. 221

Record 4
Compound: TaCoRh
Source: the Alexandria database
Functional: PBE
Structure: relaxed

Cell lengths 7.262, 7.262, 7.262 Å; angles 120.31, 87.24, 122.92 degrees
Fractional coordinates of all 18 atoms:
Ta: 0.175 0.035 0.211
Ta: 0.175 0.465 0.640
Ta: 0.433 0.743 0.189
Ta: 0.554 0.243 0.811
Ta: 0.825 0.535 0.360
Ta: 0.825 0.965 0.789
Co: 0.228 0.282 0.827
Co: 0.228 0.901 0.445
Co: 0.455 0.401 0.173
Co: 0.455 0.782 0.555
Co: 0.753 0.253 0.500
Co: 0.753 0.753 0.000
Rh: 0.052 0.335 0.217
Rh: 0.118 0.835 0.783
Rh: 0.522 0.441 0.581
Rh: 0.557 0.027 0.030
Rh: 0.860 0.941 0.419
Rh: 0.996 0.527 0.970

Calculated values
N(E_F): 0.814 states/eV per atom
calculated total energy: -8.95 eV per atom
excess energy over the best structure of this formula in the dataset: 210 meV per atom
crystal system: orthorhombic
calculated formation energy: -17.1 kJ per mole of atoms
space-group type: No. 46

Record 5
Compound: TaCoRh3
Source: the Alexandria database
Functional: PBE
Structure: relaxed

Cell lengths 4.389, 4.389, 4.389 Å; angles 90.00, 90.00, 90.00 degrees
Fractional coordinates of all 5 atoms:
Ta: 0.000 0.000 0.000
Co: 0.500 0.500 0.500
Rh: 0.000 0.500 0.500
Rh: 0.500 0.000 0.500
Rh: 0.500 0.500 0.000

Calculated values
N(E_F): 0.944 states/eV per atom
calculated total energy: -7.30 eV per atom
excess energy over the best structure of this formula in the dataset: 0 meV per atom
crystal system: cubic
calculated formation energy: 86.8 kJ per mole of atoms
space-group type: No. 221

Record 6
Compound: Ta4CoRh
Source: the Alexandria database
Functional: PBE
Structure: relaxed

Cell lengths 6.218, 6.218, 5.103 Å; angles 90.00, 90.00, 90.00 degrees
Fractional coordinates of all 12 atoms:
Ta: 0.151 0.333 0.000
Ta: 0.151 0.667 0.500
Ta: 0.333 0.151 0.500
Ta: 0.333 0.849 0.000
Ta: 0.667 0.151 0.000
Ta: 0.667 0.849 0.500
Ta: 0.849 0.333 0.500
Ta: 0.849 0.667 0.000
Co: 0.000 0.000 0.250
Co: 0.000 0.000 0.750
Rh: 0.500 0.500 0.250
Rh: 0.500 0.500 0.750

Calculated values
N(E_F): 0.779 states/eV per atom
calculated total energy: -10.58 eV per atom
excess energy over the best structure of this formula in the dataset: 0 meV per atom
crystal system: tetragonal
calculated formation energy: -26.1 kJ per mole of atoms
space-group type: No. 124

Record 7
Compound: TaCoRh
Source: the Alexandria database
Functional: PBE
Structure: relaxed

Cell lengths 4.265, 4.265, 5.338 Å; angles 90.00, 90.00, 119.92 degrees
Fractional coordinates of all 6 atoms:
Ta: 0.166 0.834 0.750
Ta: 0.834 0.166 0.250
Co: 0.167 0.833 0.250
Co: 0.833 0.167 0.750
Rh: 0.500 0.500 0.000
Rh: 0.500 0.500 0.500

Calculated values
N(E_F): 1.039 states/eV per atom
calculated total energy: -9.16 eV per atom
excess energy over the best structure of this formula in the dataset: 0 meV per atom
crystal system: orthorhombic
calculated formation energy: -37.4 kJ per mole of atoms
space-group type: No. 63

Record 8
Compound: Ta2CoRh5
Source: the Alexandria database
Functional: PBE
Structure: relaxed

Cell lengths 5.468, 10.922, 3.859 Å; angles 90.00, 90.00, 90.00 degrees
Fractional coordinates of all 16 atoms:
Ta: 0.247 0.122 0.000
Ta: 0.253 0.622 0.000
Ta: 0.747 0.378 0.000
Ta: 0.753 0.878 0.000
Co: 0.000 0.000 0.500
Co: 0.500 0.500 0.500
Rh: 0.000 0.500 0.500
Rh: 0.006 0.248 0.500
Rh: 0.242 0.878 0.000
Rh: 0.258 0.378 0.000
Rh: 0.494 0.748 0.500
Rh: 0.500 0.000 0.500
Rh: 0.506 0.252 0.500
Rh: 0.742 0.622 0.000
Rh: 0.758 0.122 0.000
Rh: 0.994 0.752 0.500

Calculated values
N(E_F): 0.702 states/eV per atom
calculated total energy: -8.98 eV per atom
crystal system: orthorhombic
calculated formation energy: -51.7 kJ per mole of atoms
space-group type: No. 55